# In6Ir | the Alexandria database | PBE | optimized geometry
data_In6Ir
_symmetry_space_group_name_H-M 'P 1'
_symmetry_Int_Tables_number 1
_symmetry_space_group_name_Hall 'P 1'
_cell_length_a 5.8516
_cell_length_b 5.8516
_cell_length_c 9.6157
_cell_angle_alpha 90.00
_cell_angle_beta 90.00
_cell_angle_gamma 89.76
loop_
_atom_site_label
_atom_site_fract_x
_atom_site_fract_y
_atom_site_fract_z
In1 0.9584 0.5996 0.7500
In2 0.1686 0.1686 0.5873
Ir1 0.4658 0.4658 0.7500
In3 0.3133 0.6867 0.5000
In4 0.1686 0.1686 0.9127
In5 0.4004 0.0416 0.2500
In6 0.6867 0.3133 0.0000
In7 0.5996 0.9584 0.7500
In8 0.0416 0.4004 0.2500
Ir2 0.5342 0.5342 0.2500
In9 0.6867 0.3133 0.5000
In10 0.8314 0.8314 0.4127
In11 0.3133 0.6867 0.0000
In12 0.8314 0.8314 0.0873
# Formation energy from the elements = 0.26 eV per formula unit
# Total moment = 0.00 μB/atom
# N(E_F) = 4.5 states/eV/cell
# Uncorrected energy = -3.576 eV per atom